Below is Ba6Bi2TeAs after structural relaxation, with properties calculated at the GGA-PBE level.

Cell lengths 8.297, 9.380, 14.763 Å; angles 90.00, 124.01, 90.00 degrees
Atoms (fractional coordinates):
Ba 0.095 0.057 0.241
Ba 0.095 0.443 0.741
Ba 0.239 0.698 0.071
Ba 0.239 0.802 0.571
Ba 0.387 0.178 0.072
Ba 0.387 0.322 0.572
Ba 0.613 0.678 0.428
Ba 0.613 0.822 0.928
Ba 0.761 0.198 0.429
Ba 0.761 0.302 0.929
Ba 0.905 0.557 0.259
Ba 0.905 0.943 0.759
Bi 0.292 0.099 0.748
Bi 0.292 0.401 0.248
Bi 0.708 0.599 0.752
Bi 0.708 0.901 0.252
Te 0.500 0.000 0.500
Te 0.500 0.500 0.000
As 0.000 0.000 0.000
As 0.000 0.500 0.500

Summary:
The symmetry is P2_1/c (14). The value obtained for the formation energy (no corrections) is -1.059 eV/atom. As for the total magnetization: 1.85 μB/cell.



Below is BaBiTeAs2 after structural relaxation, with properties calculated at the GGA-PBE level.

Cell lengths 5.411, 5.411, 6.367 Å; angles 90.00, 90.00, 90.00 degrees
Atoms (fractional coordinates):
Ba 0.000 0.000 0.000
Bi 0.500 0.500 0.000
Te 0.000 0.000 0.500
As 0.000 0.500 0.500
As 0.500 0.000 0.500

Summary:
The symmetry is P4/mmm (123). The value obtained for the formation energy (no corrections) is 0.230 eV/atom. As for the total magnetization: 0.00 μB/cell.



Below is BaTlBiAs2 after structural relaxation, with properties calculated at the GGA-PBE level.

Cell lengths 8.438, 8.438, 9.761 Å; angles 120.95, 120.95, 34.75 degrees
Atoms (fractional coordinates):
Ba 0.234 0.234 0.207
Ba 0.766 0.766 0.793
Tl 0.439 0.439 0.109
Tl 0.561 0.561 0.891
Bi 0.100 0.100 0.445
Bi 0.900 0.900 0.555
As 0.115 0.115 0.765
As 0.348 0.348 0.641
As 0.652 0.652 0.359
As 0.885 0.885 0.235

Summary:
The symmetry is C2/m (12). The value obtained for the formation energy is -0.400 eV/atom. As for the total magnetization: 0.00 μB/cell.



Below is Ba2ZnBiAs after structural relaxation, with properties calculated at the GGA-PBE level.

Cell lengths 8.024, 4.754, 10.189 Å; angles 90.00, 106.70, 90.00 degrees
Atoms (fractional coordinates):
Ba 0.201 0.250 0.398
Ba 0.234 0.250 0.969
Ba 0.766 0.750 0.031
Ba 0.799 0.750 0.602
Zn 0.483 0.750 0.261
Zn 0.517 0.250 0.739
Bi 0.318 0.750 0.697
Bi 0.682 0.250 0.303
As 0.172 0.750 0.174
As 0.828 0.250 0.826

Summary:
The symmetry is P2_1/m (11). The value obtained for the formation energy is -0.835 eV/atom. As for the total magnetization: 0.00 μB/cell.